Density functional theory data (PBE) for a geometry-optimized Cs2TmPa3O12 structure.

Geometry as POSCAR:
```
Cs2TmPa3O12
1.0
7.9844 -0.1090 -0.0773
3.8484 6.9966 -0.0773
3.8484 2.2401 6.6288
O Cs Pa Tm
12 2 3 1
Direct
0.0650 0.0650 0.6777 O
0.3139 0.9422 0.3139 O
0.9350 0.3223 0.9350 O
0.6777 0.0650 0.0650 O
0.3139 0.3139 0.9422 O
0.3223 0.9350 0.9350 O
0.6861 0.6861 0.0578 O
0.9350 0.9350 0.3223 O
0.9422 0.3139 0.3139 O
0.0650 0.6777 0.0650 O
0.0578 0.6861 0.6861 O
0.6861 0.0578 0.6861 O
0.3653 0.3653 0.3653 Cs
0.6347 0.6347 0.6347 Cs
0.0000 0.5000 0.0000 Pa
0.5000 0.0000 0.0000 Pa
0.0000 0.0000 0.5000 Pa
0.0000 0.0000 0.0000 Tm
```

Computed properties:
**Raw formation energy**: -2737 meV per atom
**SG**: No. 166
**Total magnetization**: 3.288 μB per formula unit